[1]
## VCrNi3 (PBE-GGA)

Data for crystalline VCrNi3 at its relaxed geometry.

Summary:
Energy above the lowest structure with this stoichiometry: 0.0 meV/atom
Space-group type: Pm-3m (221)

abc: 4.260 4.260 4.260
angles: 90.00 90.00 90.00
Atoms (fractional coordinates):
V 0.000 0.000 0.000
Cr 0.500 0.500 0.500
Ni 0.000 0.000 0.500
Ni 0.000 0.500 0.000
Ni 0.500 0.000 0.000



[2]
## V4CrNi12 (PBE-GGA)

Data for crystalline V4CrNi12 at its relaxed geometry.

Summary:
Space-group type: Im-3m (229)

abc: 6.404 6.404 6.404
angles: 109.47 109.47 109.47
Atoms (fractional coordinates):
V 0.000 0.000 0.500
V 0.000 0.500 0.000
V 0.500 0.000 0.000
V 0.500 0.500 0.500
Cr 0.000 0.000 0.000
Ni 0.000 0.297 0.297
Ni 0.000 0.703 0.703
Ni 0.250 0.500 0.750
Ni 0.250 0.750 0.500
Ni 0.297 0.000 0.297
Ni 0.297 0.297 0.000
Ni 0.500 0.250 0.750
Ni 0.500 0.750 0.250
Ni 0.703 0.000 0.703
Ni 0.703 0.703 0.000
Ni 0.750 0.250 0.500
Ni 0.750 0.500 0.250



[3]
## VCrNi5 (PBE-GGA)

Data for crystalline VCrNi5 at its relaxed geometry.

Summary:
Energy above the lowest structure with this stoichiometry: 119.8 meV/atom
Space-group type: P4/mmm (123)

abc: 3.485 3.485 7.025
angles: 90.00 90.00 90.00
Atoms (fractional coordinates):
V 0.000 0.000 0.000
Cr 0.500 0.500 0.500
Ni 0.000 0.500 0.258
Ni 0.000 0.500 0.742
Ni 0.500 0.000 0.258
Ni 0.500 0.000 0.742
Ni 0.500 0.500 0.000



[4]
## V7CrNi12 (PBE-GGA)

Data for crystalline V7CrNi12 at its relaxed geometry.

Summary:
Space-group type: R-3 (148)

abc: 6.217 6.217 6.217
angles: 89.85 89.85 89.85
Atoms (fractional coordinates):
V 0.000 0.000 0.000
V 0.112 0.343 0.447
V 0.343 0.447 0.112
V 0.447 0.112 0.343
V 0.553 0.888 0.657
V 0.657 0.553 0.888
V 0.888 0.657 0.553
Cr 0.500 0.500 0.500
Ni 0.002 0.351 0.883
Ni 0.117 0.998 0.649
Ni 0.234 0.624 0.749
Ni 0.251 0.766 0.376
Ni 0.351 0.883 0.002
Ni 0.376 0.251 0.766
Ni 0.624 0.749 0.234
Ni 0.649 0.117 0.998
Ni 0.749 0.234 0.624
Ni 0.766 0.376 0.251
Ni 0.883 0.002 0.351
Ni 0.998 0.649 0.117



[5]
## V5Cr4Ni (PBE-GGA)

Data for crystalline V5Cr4Ni at its relaxed geometry.

Summary:
Space-group type: P4/mmm (123)

abc: 2.927 2.927 14.438
angles: 90.00 90.00 90.00
Atoms (fractional coordinates):
V 0.000 0.000 0.000
V 0.000 0.000 0.201
V 0.000 0.000 0.397
V 0.000 0.000 0.603
V 0.000 0.000 0.799
Cr 0.500 0.500 0.100
Cr 0.500 0.500 0.303
Cr 0.500 0.500 0.697
Cr 0.500 0.500 0.900
Ni 0.500 0.500 0.500



[6]
## VCr2Ni2 (PBE-GGA)

Data for crystalline VCr2Ni2 at its relaxed geometry.

Summary:
Energy above the lowest structure with this stoichiometry: 22.7 meV/atom
Space-group type: P4/mbm (127)

abc: 6.978 6.978 2.461
angles: 90.00 90.00 90.00
Atoms (fractional coordinates):
V 0.000 0.000 0.000
V 0.500 0.500 0.000
Cr 0.117 0.383 0.000
Cr 0.383 0.883 0.000
Cr 0.617 0.117 0.000
Cr 0.883 0.617 0.000
Ni 0.178 0.678 0.500
Ni 0.322 0.178 0.500
Ni 0.678 0.822 0.500
Ni 0.822 0.322 0.500



[7]
## VCrNi6 (PBE-GGA)

Data for crystalline VCrNi6 at its relaxed geometry.

Summary:
Energy above the lowest structure with this stoichiometry: 0.0 meV/atom
Space-group type: Amm2 (38)

abc: 3.520 7.145 7.175
angles: 90.00 90.00 90.00
Atoms (fractional coordinates):
V 0.000 0.000 0.000
V 0.000 0.500 0.500
Cr 0.500 0.000 0.725
Cr 0.500 0.500 0.225
Ni 0.000 0.000 0.487
Ni 0.000 0.246 0.739
Ni 0.000 0.254 0.239
Ni 0.000 0.500 0.987
Ni 0.000 0.746 0.239
Ni 0.000 0.754 0.739
Ni 0.500 0.000 0.237
Ni 0.500 0.245 0.986
Ni 0.500 0.255 0.486
Ni 0.500 0.500 0.737
Ni 0.500 0.745 0.486
Ni 0.500 0.755 0.986



[8]
## VCrNi14 (PBE-GGA)

Data for crystalline VCrNi14 at its relaxed geometry.

Summary:
Space-group type: P4/mmm (123)

abc: 5.005 5.005 7.003
angles: 90.00 90.00 90.00
Atoms (fractional coordinates):
V 0.000 0.000 0.000
Cr 0.500 0.500 0.000
Ni 0.000 0.000 0.500
Ni 0.000 0.500 0.000
Ni 0.000 0.500 0.500
Ni 0.251 0.251 0.247
Ni 0.251 0.251 0.753
Ni 0.251 0.749 0.247
Ni 0.251 0.749 0.753
Ni 0.500 0.000 0.000
Ni 0.500 0.000 0.500
Ni 0.500 0.500 0.500
Ni 0.749 0.251 0.247
Ni 0.749 0.251 0.753
Ni 0.749 0.749 0.247
Ni 0.749 0.749 0.753



Number 1: calculated formation energy 1.02 eV per atom. Number 2: calculated formation energy 0.07 eV per atom. Number 3: calculated formation energy 0.10 eV per atom. Number 4: calculated formation energy -0.03 eV per atom. Number 5: calculated formation energy -0.08 eV per atom. Number 6: calculated formation energy 0.18 eV per atom. Number 7: calculated formation energy -0.06 eV per atom. Number 8: calculated formation energy -0.05 eV per atom.